(1)
# CeTmSc6 PBE optimized geometry
data_CeTmSc6
_chemical_formula_sum 'Ce1 Tm1 Sc6'
_space_group_name_H-M_alt 'P -6 m 2'
_space_group_IT_number 187
_space_group_name_Hall 'P -6 2'
_cell_length_a 6.7056
_cell_length_b 6.7056
_cell_length_c 5.3191
_cell_angle_alpha 90.00
_cell_angle_beta 90.00
_cell_angle_gamma 120.00
loop_
_atom_site_label
_atom_site_fract_x
_atom_site_fract_y
_atom_site_fract_z
Ce1 0.0000 0.0000 0.0000
Tm1 0.6667 0.3333 0.5000
Sc1 0.0060 0.5030 0.0000
Sc2 0.1670 0.3340 0.5000
# Energy of formation from the pure elements in eV per atom: 0.04
# Total moment in μB per cell: 0.78

***

(2)
# Pa2AsPt PBE optimized geometry
data_Pa2AsPt
_chemical_formula_sum 'Pa2 As1 Pt1'
_space_group_name_H-M_alt 'P 4/m m m'
_space_group_IT_number 123
_space_group_name_Hall '-P 4 2'
_cell_length_a 4.964
_cell_length_b 4.964
_cell_length_c 3.557
_cell_angle_alpha 90.00
_cell_angle_beta 90.00
_cell_angle_gamma 90.00
loop_
_atom_site_label
_atom_site_fract_x
_atom_site_fract_y
_atom_site_fract_z
Pa1 0.000 0.500 0.000
As1 0.000 0.000 0.500
Pt1 0.500 0.500 0.500
# Energy above the lowest structure with this stoichiometry in eV per atom: 0.000
# Energy of formation from the pure elements in eV per atom: -0.68
# Total moment in μB per cell: 2.54